# BaPrFe (PBE, relaxed)
# Crystal system: cubic
# Distance to the lowest polymorph of the same formula, meV per atom: 0
data_BaPrFe
_cell_length_a 7.260
_cell_length_b 7.260
_cell_length_c 7.260
_cell_angle_alpha 90.00
_cell_angle_beta 90.00
_cell_angle_gamma 90.00
_symmetry_space_group_name_H-M 'F -4 3 m'
_symmetry_Int_Tables_number 216
_symmetry_space_group_name_Hall 'F -4 2 3'
loop_
_atom_site_label
_atom_site_fract_x
_atom_site_fract_y
_atom_site_fract_z
Ba1 0.000 0.000 0.000
Pr1 0.250 0.250 0.250
Fe1 0.000 0.000 0.500